# 1
# SiNiRh2

A geometry-optimized SiNiRh2 structure (PBE, the Alexandria database).

Lattice parameters (Å, degrees): 8.761 8.761 8.761 155.57 155.57 34.82
Fractional positions:
1 Si 0.000 0.000 0.000
2 Si 0.750 0.250 0.500
3 Ni 0.250 0.750 0.500
4 Ni 0.500 0.500 0.000
5 Rh 0.130 0.625 0.005
6 Rh 0.375 0.380 0.505
7 Rh 0.620 0.125 0.995
8 Rh 0.875 0.870 0.495

Properties
Total energy in hartree per atom: -0.2352
Formation energy from raw total energies in meV/atom: 78
M_tot in μB/f.u.: 0.002

=====

# 2
# Sb6OsPd

A geometry-optimized Sb6OsPd structure (PBE, the Alexandria database).

Lattice parameters (Å, degrees): 8.178 8.178 9.441 125.25 125.25 70.48
Fractional positions:
1 Sb 0.150 0.841 0.655
2 Sb 0.159 0.850 0.345
3 Sb 0.187 0.505 0.842
4 Sb 0.331 0.331 0.486
5 Sb 0.349 0.349 0.196
6 Sb 0.495 0.813 0.158
7 Sb 0.505 0.187 0.842
8 Sb 0.651 0.651 0.804
9 Sb 0.669 0.669 0.514
10 Sb 0.813 0.495 0.158
11 Sb 0.841 0.150 0.655
12 Sb 0.850 0.159 0.345
13 Os 0.000 0.500 0.500
14 Os 0.500 0.000 0.500
15 Pd 0.000 0.500 0.000
16 Pd 0.500 0.000 0.000

Properties
Total energy in hartree per atom: -0.1957
Formation energy from raw total energies in meV/atom: -179
M_tot in μB/f.u.: 0.000

=====

# 3
# Ge3Os2

A geometry-optimized Ge3Os2 structure (PBE, the Alexandria database).

Lattice parameters (Å, degrees): 11.614 9.335 5.816 90.00 90.00 90.00
Fractional positions:
1 Ge 0.073 0.214 0.042
2 Ge 0.073 0.786 0.542
3 Ge 0.132 0.395 0.600
4 Ge 0.132 0.605 0.100
5 Ge 0.178 0.066 0.409
6 Ge 0.178 0.934 0.909
7 Ge 0.322 0.434 0.909
8 Ge 0.322 0.566 0.409
9 Ge 0.368 0.105 0.100
10 Ge 0.368 0.895 0.600
11 Ge 0.427 0.286 0.542
12 Ge 0.427 0.714 0.042
13 Ge 0.573 0.286 0.958
14 Ge 0.573 0.714 0.458
15 Ge 0.632 0.105 0.400
16 Ge 0.632 0.895 0.900
17 Ge 0.678 0.434 0.591
18 Ge 0.678 0.566 0.091
19 Ge 0.822 0.066 0.091
20 Ge 0.822 0.934 0.591
21 Ge 0.868 0.395 0.900
22 Ge 0.868 0.605 0.400
23 Ge 0.927 0.214 0.458
24 Ge 0.927 0.786 0.958
25 Os 0.000 0.040 0.750
26 Os 0.000 0.425 0.250
27 Os 0.000 0.575 0.750
28 Os 0.000 0.960 0.250
29 Os 0.246 0.186 0.759
30 Os 0.246 0.814 0.259
31 Os 0.254 0.314 0.259
32 Os 0.254 0.686 0.759
33 Os 0.500 0.075 0.750
34 Os 0.500 0.460 0.250
35 Os 0.500 0.540 0.750
36 Os 0.500 0.925 0.250
37 Os 0.746 0.314 0.241
38 Os 0.746 0.686 0.741
39 Os 0.754 0.186 0.741
40 Os 0.754 0.814 0.241

Properties
Polymorph energy (0 for the lowest one) in eV/f.u.: 0.00
Total energy in hartree per atom: -0.2696
M_tot in μB/f.u.: 0.000

=====

# 4
# Sr2Zn4In3Ag

A geometry-optimized Sr2Zn4In3Ag structure (PBE, the Alexandria database).

Lattice parameters (Å, degrees): 4.608 4.608 11.333 90.00 90.00 90.00
Fractional positions:
1 Sr 0.000 0.500 0.249
2 Sr 0.500 0.000 0.751
3 Zn 0.000 0.000 0.500
4 Zn 0.000 0.500 0.871
5 Zn 0.500 0.000 0.129
6 Zn 0.500 0.500 0.500
7 In 0.000 0.000 0.000
8 In 0.000 0.500 0.634
9 In 0.500 0.000 0.366
10 Ag 0.500 0.500 0.000

Properties
Total energy in hartree per atom: -0.0807
M_tot in μB/f.u.: 0.000

=====

# 5
# HoNp2Se4

A geometry-optimized HoNp2Se4 structure (PBE, the Alexandria database).

Lattice parameters (Å, degrees): 7.043 7.043 13.895 90.00 90.00 147.38
Fractional positions:
1 Ho 0.121 0.879 0.750
2 Ho 0.879 0.121 0.250
3 Np 0.365 0.635 0.568
4 Np 0.365 0.635 0.932
5 Np 0.635 0.365 0.068
6 Np 0.635 0.365 0.432
7 Se 0.000 0.000 0.000
8 Se 0.000 0.000 0.500
9 Se 0.281 0.719 0.126
10 Se 0.281 0.719 0.374
11 Se 0.468 0.532 0.750
12 Se 0.532 0.468 0.250
13 Se 0.719 0.281 0.626
14 Se 0.719 0.281 0.874

Properties
Total energy in hartree per atom: -0.2813
Formation energy from raw total energies in meV/atom: -1313
M_tot in μB/f.u.: 8.820

=====

# 6
# Np6ZnS12

A geometry-optimized Np6ZnS12 structure (PBE, the Alexandria database).

Lattice parameters (Å, degrees): 7.749 7.749 7.749 100.29 100.29 100.29
Fractional positions:
1 Np 0.119 0.796 0.632
2 Np 0.204 0.368 0.881
3 Np 0.368 0.881 0.204
4 Np 0.632 0.119 0.796
5 Np 0.796 0.632 0.119
6 Np 0.881 0.204 0.368
7 Zn 0.500 0.500 0.500
8 S 0.070 0.922 0.324
9 S 0.078 0.676 0.930
10 S 0.186 0.439 0.549
11 S 0.324 0.070 0.922
12 S 0.439 0.549 0.186
13 S 0.451 0.814 0.561
14 S 0.549 0.186 0.439
15 S 0.561 0.451 0.814
16 S 0.676 0.930 0.078
17 S 0.814 0.561 0.451
18 S 0.922 0.324 0.070
19 S 0.930 0.078 0.676

Properties
Total energy in hartree per atom: -0.2940
Formation energy from raw total energies in meV/atom: -1240
M_tot in μB/f.u.: 20.000

=====

# 7
# YEr2Au2

A geometry-optimized YEr2Au2 structure (PBE, the Alexandria database).

Lattice parameters (Å, degrees): 8.151 8.151 3.755 90.00 90.00 90.00
Fractional positions:
1 Y 0.000 0.000 0.000
2 Y 0.500 0.500 0.000
3 Er 0.161 0.339 0.500
4 Er 0.339 0.839 0.500
5 Er 0.661 0.161 0.500
6 Er 0.839 0.661 0.500
7 Au 0.134 0.634 0.000
8 Au 0.366 0.134 0.000
9 Au 0.634 0.866 0.000
10 Au 0.866 0.366 0.000

Properties
Total energy in hartree per atom: -0.1891
M_tot in μB/f.u.: 0.000

=====

# 8
# FeRe2HgAu

A geometry-optimized FeRe2HgAu structure (PBE, the Alexandria database).

Lattice parameters (Å, degrees): 4.984 4.984 5.027 90.00 90.00 90.00
Fractional positions:
1 Fe 0.000 0.000 0.000
2 Re 0.000 0.500 0.500
3 Re 0.500 0.000 0.500
4 Hg 0.500 0.500 0.000
5 Au 0.500 0.500 0.500

Properties
Polymorph energy (0 for the lowest one) in eV/f.u.: 6.91
Total energy in hartree per atom: -0.1649
M_tot in μB/f.u.: 5.441

=====

# 9
# Ca3ZnSi2Au6

A geometry-optimized Ca3ZnSi2Au6 structure (PBE, the Alexandria database).

Lattice parameters (Å, degrees): 6.357 6.357 7.859 90.00 90.00 120.00
Fractional positions:
1 Ca 0.000 0.000 0.000
2 Ca 0.333 0.667 0.669
3 Ca 0.667 0.333 0.331
4 Zn 0.000 0.000 0.500
5 Si 0.333 0.667 0.064
6 Si 0.667 0.333 0.936
7 Au 0.178 0.356 0.294
8 Au 0.178 0.822 0.294
9 Au 0.356 0.178 0.706
10 Au 0.644 0.822 0.294
11 Au 0.822 0.178 0.706
12 Au 0.822 0.644 0.706

Properties
Total energy in hartree per atom: -0.1294
Formation energy from raw total energies in meV/atom: -373
M_tot in μB/f.u.: 0.000

=====

# 10
# Cd12PtAu6

A geometry-optimized Cd12PtAu6 structure (PBE, the Alexandria database).

Lattice parameters (Å, degrees): 7.279 7.279 7.279 89.87 89.87 89.87
Fractional positions:
1 Cd 0.034 0.941 0.300
2 Cd 0.059 0.700 0.966
3 Cd 0.136 0.474 0.355
4 Cd 0.300 0.034 0.941
5 Cd 0.355 0.136 0.474
6 Cd 0.474 0.355 0.136
7 Cd 0.526 0.645 0.864
8 Cd 0.645 0.864 0.526
9 Cd 0.700 0.966 0.059
10 Cd 0.864 0.526 0.645
11 Cd 0.941 0.300 0.034
12 Cd 0.966 0.059 0.700
13 Pt 0.500 0.500 0.500
14 Au 0.219 0.384 0.772
15 Au 0.228 0.781 0.616
16 Au 0.384 0.772 0.219
17 Au 0.616 0.228 0.781
18 Au 0.772 0.219 0.384
19 Au 0.781 0.616 0.228

Properties
Total energy in hartree per atom: -0.0762
M_tot in μB/f.u.: 0.000

=====

# 11
# Dy6CdRu

A geometry-optimized Dy6CdRu structure (PBE, the Alexandria database).

Lattice parameters (Å, degrees): 6.830 6.853 7.455 90.20 117.01 119.89
Fractional positions:
1 Dy 0.041 0.082 0.257
2 Dy 0.298 0.715 0.256
3 Dy 0.323 0.540 0.744
4 Dy 0.677 0.460 0.256
5 Dy 0.702 0.285 0.744
6 Dy 0.959 0.918 0.743
7 Cd 0.500 0.000 0.000
8 Ru 0.500 0.500 0.500

Properties
Polymorph energy (0 for the lowest one) in eV/f.u.: 1.06
Total energy in hartree per atom: -0.1729
M_tot in μB/f.u.: 0.000

=====

# 12
# CaTa2Re

A geometry-optimized CaTa2Re structure (PBE, the Alexandria database).

Lattice parameters (Å, degrees): 5.674 5.674 2.768 99.89 99.89 117.31
Fractional positions:
1 Ca 0.000 0.000 0.000
2 Ta 0.000 0.500 0.500
3 Ta 0.500 0.000 0.500
4 Re 0.500 0.500 0.000

Properties
Polymorph energy (0 for the lowest one) in eV/f.u.: 0.80
Total energy in hartree per atom: -0.3301
M_tot in μB/f.u.: 0.000

=====

# 13
# Tb2Dy3ScSe6

A geometry-optimized Tb2Dy3ScSe6 structure (PBE, the Alexandria database).

Lattice parameters (Å, degrees): 9.046 9.046 8.132 102.90 102.90 25.82
Fractional positions:
1 Tb 0.167 0.167 0.333
2 Tb 0.833 0.833 0.667
3 Dy 0.170 0.170 0.835
4 Dy 0.500 0.500 0.500
5 Dy 0.830 0.830 0.165
6 Sc 0.500 0.500 0.000
7 Se 0.002 0.002 0.761
8 Se 0.334 0.334 0.416
9 Se 0.339 0.339 0.921
10 Se 0.661 0.661 0.079
11 Se 0.666 0.666 0.584
12 Se 0.998 0.998 0.239

Properties
Total energy in hartree per atom: -0.2174
Formation energy from raw total energies in meV/atom: -1723
M_tot in μB/f.u.: 0.000